Entry from Alexandria: crystalline NaPd4Pb at its relaxed geometry (PBE-GGA).

Calculated values
As for the energy of formation: -195.1 meV/atom.

Unit cell a=5.410 b=5.410 c=5.410 alpha=60.00 beta=60.00 gamma=60.00
Positions (direct):
Pb 0.250 0.250 0.250
Na 0.000 0.000 0.000
Pd 0.625 0.625 0.125
Pd 0.625 0.125 0.625
Pd 0.625 0.625 0.625
Pd 0.125 0.625 0.625